(1)
Crystalline Cs3Er3AlTe8 at its relaxed geometry. Source: Alexandria via LeMat-Bulk, functional GGA-PBE.

Results
electronic total energy	-4.110	eV per atom
symmetry	C2/m, No. 12
density	5.34	Mg/m³

The structure in POSCAR format:
```
Cs3Er3AlTe8
1.0
7.519 -4.344 0.000
7.519 4.344 0.000
-5.009 0.000 9.273
Cs Er Al Te
3 3 1 8
Direct
0.000 0.000 0.000
0.000 0.500 0.000
0.500 0.000 0.000
0.000 0.500 0.500
0.500 0.000 0.500
0.500 0.500 0.500
0.000 0.000 0.500
0.217 0.217 0.679
0.217 0.745 0.679
0.255 0.783 0.321
0.270 0.270 0.309
0.730 0.730 0.691
0.745 0.217 0.679
0.783 0.255 0.321
0.783 0.783 0.321
```

(2)
Crystalline Cs3AlF7 at its relaxed geometry. Source: Alexandria via LeMat-Bulk, functional GGA-PBE.

Results
electronic total energy	-4.624	eV per atom
symmetry	P4/mbm, No. 127
density	4.09	Mg/m³

The structure in POSCAR format:
```
Cs3AlF7
1.0
8.492 0.000 0.000
0.000 8.492 0.000
0.000 0.000 6.291
Cs Al F
6 2 14
Direct
0.000 0.000 0.000
0.189 0.311 0.500
0.311 0.811 0.500
0.500 0.500 0.000
0.689 0.189 0.500
0.811 0.689 0.500
0.000 0.500 0.000
0.500 0.000 0.000
0.000 0.000 0.500
0.107 0.607 0.209
0.107 0.607 0.791
0.152 0.348 0.000
0.348 0.848 0.000
0.393 0.107 0.209
0.393 0.107 0.791
0.500 0.500 0.500
0.607 0.893 0.209
0.607 0.893 0.791
0.652 0.152 0.000
0.848 0.652 0.000
0.893 0.393 0.209
0.893 0.393 0.791
```

(3)
Crystalline Cs6Al3F14 at its relaxed geometry. Source: Alexandria via LeMat-Bulk, functional GGA-PBE.

Results
electronic total energy	-4.938	eV per atom
symmetry	P3, No. 143
density	3.19	Mg/m³

The structure in POSCAR format:
```
Cs6Al3F14
1.0
10.611 0.000 0.000
-5.306 9.190 0.000
0.000 0.000 6.118
Cs Al F
6 3 14
Direct
0.097 0.373 0.000
0.276 0.903 0.000
0.322 0.226 0.465
0.627 0.724 0.000
0.774 0.096 0.465
0.904 0.678 0.465
0.000 0.000 0.855
0.333 0.667 0.460
0.667 0.333 0.894
0.047 0.160 0.677
0.113 0.953 0.677
0.162 0.116 0.024
0.174 0.647 0.355
0.333 0.667 0.740
0.353 0.527 0.355
0.473 0.826 0.355
0.540 0.166 0.794
0.626 0.460 0.794
0.667 0.333 0.172
0.834 0.374 0.794
0.840 0.887 0.677
0.884 0.046 0.024
0.954 0.838 0.024
```

(4)
Crystalline Cs2AlF6 at its relaxed geometry. Source: Alexandria via LeMat-Bulk, functional GGA-PBE.

Results
electronic total energy	-4.735	eV per atom
symmetry	Fm-3m, No. 225
density	3.55	Mg/m³

The structure in POSCAR format:
```
Cs2AlF6
1.0
0.000 4.566 4.566
4.566 0.000 4.566
4.566 4.566 0.000
Cs Al F
2 1 6
Direct
0.250 0.250 0.250
0.750 0.750 0.750
0.000 0.000 0.000
0.199 0.199 0.801
0.199 0.801 0.199
0.199 0.801 0.801
0.801 0.199 0.199
0.801 0.199 0.801
0.801 0.801 0.199
```

(5)
Crystalline CsAl2F at its relaxed geometry. Source: Alexandria via LeMat-Bulk, functional GGA-PBE.

Results
electronic total energy	-2.297	eV per atom
symmetry	Fm-3m, No. 225
density	2.96	Mg/m³

The structure in POSCAR format:
```
CsAl2F
1.0
0.000 3.864 3.864
3.864 0.000 3.864
3.864 3.864 0.000
Cs Al F
1 2 1
Direct
0.000 0.000 0.000
0.250 0.250 0.250
0.750 0.750 0.750
0.500 0.500 0.500
```

(6)
Crystalline CsAlF4 at its relaxed geometry. Source: Alexandria via LeMat-Bulk, functional GGA-PBE.

Results
electronic total energy	-5.381	eV per atom
symmetry	Pnma, No. 62
density	3.55	Mg/m³

The structure in POSCAR format:
```
CsAlF4
1.0
10.817 0.000 0.000
0.000 6.843 0.000
0.000 0.000 17.863
Cs Al F
12 12 48
Direct
0.075 0.250 0.224
0.115 0.750 0.544
0.193 0.250 0.817
0.307 0.750 0.317
0.385 0.250 0.044
0.425 0.750 0.724
0.575 0.250 0.276
0.615 0.750 0.956
0.693 0.250 0.683
0.807 0.750 0.183
0.885 0.250 0.456
0.925 0.750 0.776
0.000 0.000 0.000
0.000 0.500 0.000
0.198 0.750 0.126
0.241 0.250 0.424
0.259 0.750 0.924
0.302 0.250 0.626
0.500 0.000 0.500
0.500 0.500 0.500
0.698 0.750 0.374
0.741 0.250 0.076
0.759 0.750 0.576
0.802 0.250 0.874
0.060 0.250 0.007
0.087 0.561 0.083
0.087 0.939 0.083
0.099 0.750 0.206
0.131 0.562 0.942
0.131 0.938 0.942
0.134 0.056 0.416
0.134 0.444 0.416
0.210 0.053 0.659
0.210 0.447 0.659
0.212 0.750 0.828
0.224 0.250 0.531
0.276 0.750 0.031
0.288 0.250 0.328
0.290 0.553 0.159
0.290 0.947 0.159
0.366 0.556 0.916
0.366 0.944 0.916
0.369 0.062 0.442
0.369 0.438 0.442
0.401 0.250 0.706
0.413 0.061 0.583
0.413 0.439 0.583
0.440 0.750 0.507
0.560 0.250 0.493
0.587 0.561 0.417
0.587 0.939 0.417
0.599 0.750 0.294
0.631 0.562 0.558
0.631 0.938 0.558
0.634 0.056 0.084
0.634 0.444 0.084
0.710 0.053 0.841
0.710 0.447 0.841
0.712 0.750 0.672
0.724 0.250 0.969
0.776 0.750 0.469
0.788 0.250 0.172
0.790 0.553 0.341
0.790 0.947 0.341
0.866 0.556 0.584
0.866 0.944 0.584
0.869 0.062 0.058
0.869 0.438 0.058
0.901 0.250 0.794
0.913 0.061 0.917
0.913 0.439 0.917
0.940 0.750 0.993
```